Record 1
Entry from the Alexandria database: a relaxed CaTiCd crystal (GGA-PBE).

## Properties
The calculation puts the formation energy at 0.166 eV/atom. For the energy above the most stable polymorph in this dataset, the calculation gives 88 meV/atom.

Cell lengths 3.2452, 6.5791, 7.2957 Å; angles 96.11, 90.23, 104.24 degrees
Closest atoms and distances in Å follow each position.
Space group P1 (No. 1)
Unique sites:
Ca (0.0000, 0.0000, 0.0000) (multiplicity 1)  5 Cd 3.22-3.53, 2 Ca 3.25, 3 Ti 3.38-3.39
Ca (0.0981, 0.1808, 0.5373) (multiplicity 1)  3 Cd 3.13-3.36, 2 Ca 3.25, 4 Ti 3.35-3.49
Ti (0.3804, 0.7556, 0.3241) (multiplicity 1)  2 Ti 2.70-2.72, 2 Cd 2.92
Ti (0.8373, 0.6698, 0.6039) (multiplicity 1)  2 Ti 2.70-2.72, 2 Cd 2.99-3.00
Cd (0.2690, 0.5336, 0.9147) (multiplicity 1)  3 Ti 2.99-3.16, 4 Cd 3.07-3.25
Cd (0.6923, 0.3783, 0.2310) (multiplicity 1)  3 Ti 2.92-3.12, 4 Cd 3.07-3.25, 4 Ca 3.13-3.23

Record 2
Entry from the Alexandria database: a relaxed CaMg2Br crystal (GGA-PBE).

## Properties
For the energy above the most stable polymorph in this dataset, the calculation gives 223 meV/atom. For the formation energy from raw total energies, the calculation gives -332 meV/atom.

Cell lengths 4.7281, 4.7281, 10.0289 Å; angles 90.00, 90.00, 90.00 degrees
Closest atoms and distances in Å follow each position.
Space group I-4m2 (No. 119)
Unique sites:
Ca (0.0000, 0.0000, 0.0000) (multiplicity 2)  8 Mg 3.34-3.45, 4 Br 3.45
Mg (0.0000, 0.0000, 0.5000) (multiplicity 2)  4 Ca 3.34, 4 Br 3.45, 4 Mg 3.45
Mg (0.0000, 0.5000, 0.7500) (multiplicity 2)  4 Br 3.34, 4 Ca 3.45, 4 Mg 3.45
Br (0.0000, 0.5000, 0.2500) (multiplicity 2)  8 Mg 3.34-3.45, 4 Ca 3.45

Record 3
Entry from the Alexandria database: a relaxed RbAl2Pb crystal (GGA-PBE).

## Properties
The calculation puts the formation energy at 0.289 eV/atom.

Cell lengths 5.4423, 5.4423, 20.0767 Å; angles 90.00, 90.00, 90.00 degrees
Closest atoms and distances in Å follow each position.
Space group I4_1/amd (No. 141, origin choice 2)
Unique sites:
Rb (0.0000, 0.2500, 0.3750) (multiplicity 4)  4 Pb 3.85, 8 Al 3.94
Al (0.0000, 0.0000, 0.0000) (multiplicity 8)  2 Al 2.72, 2 Pb 2.85
Pb (0.0000, 0.2500, 0.8750) (multiplicity 4)  4 Al 2.85

Record 4
Entry from the Alexandria database: a relaxed TmPuAlIn crystal (GGA-PBE).

## Properties
The calculation puts the formation energy at -0.226 eV/atom.

Cell lengths 7.3452, 7.3452, 7.3452 Å; angles 90.00, 90.00, 90.00 degrees
Closest atoms and distances in Å follow each position.
Space group F-43m (No. 216)
Unique sites:
Tm (0.0000, 0.0000, 0.0000) (multiplicity 4)  4 In 3.18, 4 Al 3.18
Pu (0.0000, 0.0000, 0.5000) (multiplicity 4)  4 Al 3.18, 4 In 3.18
Al (0.2500, 0.2500, 0.2500) (multiplicity 4)  4 Tm 3.18, 4 Pu 3.18
In (0.2500, 0.2500, 0.7500) (multiplicity 4)  4 Tm 3.18, 4 Pu 3.18